Computed, not measured: an optimized crystal structure of KRbH3Au at the GGA-PBE level of DFT.

Calculated values
As for the space group: P6_3/mmc. The calculated total energy is -2.782 eV per atom.

Unit cell a=6.400 b=6.400 c=7.289 alpha=90.00 beta=90.00 gamma=120.00
Element x y z (fractional)
K: 0.000 0.000 0.000
K: 0.000 0.000 0.500
Rb: 0.333 0.667 0.250
Rb: 0.667 0.333 0.750
H: 0.177 0.353 0.750
H: 0.177 0.823 0.750
H: 0.353 0.177 0.250
H: 0.647 0.823 0.750
H: 0.823 0.177 0.250
H: 0.823 0.647 0.250
Au: 0.333 0.667 0.750
Au: 0.667 0.333 0.250

Computed, not measured: an optimized crystal structure of K2RbH6Au2 at the GGA-PBE level of DFT.

Calculated values
As for the space group: C2/m. The calculated total energy is -2.794 eV per atom.

Unit cell a=6.246 b=6.246 c=7.427 alpha=113.64 beta=113.64 gamma=54.00
Element x y z (fractional)
K: 0.214 0.214 0.202
K: 0.786 0.786 0.798
Rb: 0.000 0.000 0.500
H: 0.202 0.630 0.132
H: 0.293 0.293 0.631
H: 0.370 0.798 0.868
H: 0.630 0.202 0.132
H: 0.707 0.707 0.369
H: 0.798 0.370 0.868
Au: 0.462 0.462 0.776
Au: 0.538 0.538 0.224

Computed, not measured: an optimized crystal structure of K2RbHAu at the GGA-PBE level of DFT.

Calculated values
The value obtained for the energy above the most stable polymorph in this dataset is 5 meV/atom. As for the space group: P4/mmm.

Unit cell a=5.331 b=5.331 c=5.775 alpha=90.00 beta=90.00 gamma=90.00
Element x y z (fractional)
K: 0.000 0.500 0.000
K: 0.500 0.000 0.000
Rb: 0.000 0.000 0.500
H: 0.000 0.000 0.000
Au: 0.500 0.500 0.500